# 1
The following is a DFT calculation (PBE-GGA) of an optimized crystal structure of CeHfTcAg.

Lattice parameters (Å, degrees): 6.9023 6.9023 6.9023 90.00 90.00 90.00
With the nearest neighbours (Å) after each atom.
Fractional positions:
Ce 0.0000 0.0000 0.0000  4 Tc 2.99, 4 Ag 2.99
Ce 0.0000 0.5000 0.5000  4 Tc 2.99, 4 Ag 2.99
Ce 0.5000 0.0000 0.5000  4 Tc 2.99, 4 Ag 2.99
Ce 0.5000 0.5000 0.0000  4 Tc 2.99, 4 Ag 2.99
Hf 0.0000 0.0000 0.5000  4 Tc 2.99, 4 Ag 2.99
Hf 0.0000 0.5000 0.0000  4 Tc 2.99, 4 Ag 2.99
Hf 0.5000 0.0000 0.0000  4 Tc 2.99, 4 Ag 2.99
Hf 0.5000 0.5000 0.5000  4 Tc 2.99, 4 Ag 2.99
Tc 0.2500 0.2500 0.7500  4 Hf 2.99, 4 Ce 2.99
Tc 0.2500 0.7500 0.2500  4 Hf 2.99, 4 Ce 2.99
Tc 0.7500 0.2500 0.2500  4 Hf 2.99, 4 Ce 2.99
Tc 0.7500 0.7500 0.7500  4 Hf 2.99, 4 Ce 2.99
Ag 0.2500 0.2500 0.2500  4 Hf 2.99, 4 Ce 2.99
Ag 0.2500 0.7500 0.7500  4 Hf 2.99, 4 Ce 2.99
Ag 0.7500 0.2500 0.7500  4 Hf 2.99, 4 Ce 2.99
Ag 0.7500 0.7500 0.2500  4 Hf 2.99, 4 Ce 2.99

## Properties
For the density of states at the Fermi level, the calculation gives 29.74 states/eV per cell. For the energy of formation, the calculation gives -0.0126 eV per atom. As for the final energy: -0.2679 hartree per atom. The space-group type is F-43m (216).

# 2
The following is a DFT calculation (PBE-GGA) of an optimized crystal structure of PmMgP2Ir5.

Lattice parameters (Å, degrees): 4.0379 4.0379 10.2703 90.00 90.00 90.00
With the nearest neighbours (Å) after each atom.
Fractional positions:
Pm 0.0000 0.0000 0.0000  4 Ir 2.86
Mg 0.0000 0.0000 0.5000  8 Ir 2.70
P 0.5000 0.5000 0.2223  5 Ir 2.28
P 0.5000 0.5000 0.7777  5 Ir 2.28
Ir 0.0000 0.5000 0.3259  2 P 2.28
Ir 0.0000 0.5000 0.6741  2 P 2.28
Ir 0.5000 0.0000 0.3259  2 P 2.28
Ir 0.5000 0.0000 0.6741  2 P 2.28
Ir 0.5000 0.5000 0.0000  2 P 2.28

## Properties
For the density of states at the Fermi level, the calculation gives 5.14 states/eV per cell. For the energy of formation, the calculation gives -0.3982 eV per atom. As for the final energy: -0.2656 hartree per atom. The space-group type is P4/mmm (123).

# 3
The following is a DFT calculation (PBE-GGA) of an optimized crystal structure of K2MnTl3Cl6.

Lattice parameters (Å, degrees): 7.3581 7.3581 8.2678 98.75 98.75 120.25
With the nearest neighbours (Å) after each atom.
Fractional positions:
K 0.1637 0.8363 0.0000  6 Cl 3.06-3.12
K 0.8363 0.1637 0.0000  6 Cl 3.06-3.12
Mn 0.5000 0.5000 0.0000  6 Cl 2.54-2.65
Tl 0.0000 0.0000 0.5000  6 Cl 3.31-3.66
Tl 0.3182 0.6818 0.5000  6 Cl 3.34-3.61
Tl 0.6818 0.3182 0.5000  6 Cl 3.34-3.61
Cl 0.1559 0.4337 0.8090  1 Mn 2.54
Cl 0.2933 0.2933 0.2122  1 Mn 2.65
Cl 0.4337 0.1559 0.8090  1 Mn 2.54
Cl 0.5663 0.8441 0.1910  1 Mn 2.54
Cl 0.7067 0.7067 0.7878  1 Mn 2.65
Cl 0.8441 0.5663 0.1910  1 Mn 2.54

## Properties
For the density of states at the Fermi level, the calculation gives 2.70 states/eV per cell. The calculation puts the uncorrected formation energy at -1.175 eV per atom. As for the final energy: -0.1337 hartree per atom. The space-group type is C2/m (12).

# 4
The following is a DFT calculation (PBE-GGA) of an optimized crystal structure of Mg4Si7.

Lattice parameters (Å, degrees): 4.0813 8.1876 12.6692 83.03 84.95 87.52
With the nearest neighbours (Å) after each atom.
Fractional positions:
Mg 0.0000 0.0000 0.0000  6 Si 2.91-3.10
Mg 0.0209 0.3208 0.7911  7 Si 2.74-2.91, 1 Mg 3.04
Mg 0.0819 0.9557 0.7000  8 Si 2.71-3.01
Mg 0.3773 0.2378 0.3967  5 Si 2.70-2.91
Mg 0.4321 0.2116 0.1554  4 Si 2.61-2.74
Mg 0.8754 0.9863 0.3050  4 Si 2.69-2.79
Mg 0.8973 0.6508 0.1848  7 Si 2.67-2.89, 1 Mg 2.91
Mg 0.9591 0.4632 0.0029  5 Si 2.77-2.93, 2 Mg 2.91-3.04
Si 0.0431 0.3634 0.5633  4 Si 2.39-2.59
Si 0.1155 0.6463 0.8039  3 Si 2.40-2.47
Si 0.2090 0.8093 0.5114  4 Si 2.40-2.50
Si 0.3205 0.6770 0.3529  4 Si 2.40-2.51
Si 0.3293 0.5691 0.6339  3 Si 2.39-2.41
Si 0.4020 0.8753 0.1875  2 Si 2.47-2.50, 3 Mg 2.67-2.74
Si 0.4181 0.7011 0.0408  2 Si 2.39-2.47
Si 0.5018 0.2552 0.9472  1 Si 2.34, 1 Mg 2.61
Si 0.5429 0.0756 0.8164  3 Si 2.34-2.50
Si 0.5652 0.2027 0.6265  4 Si 2.42-2.59
Si 0.5819 0.7796 0.8567  4 Si 2.39-2.47
Si 0.6798 0.9738 0.5196  3 Si 2.41-2.50
Si 0.8191 0.5070 0.3968  4 Si 2.45-2.51
Si 0.9013 0.3254 0.2555  1 Si 2.45, 4 Mg 2.61-2.73

## Properties
For the density of states at the Fermi level, the calculation gives 5.44 states/eV per cell. The distance to the lowest polymorph of the same formula comes out at 29.4 kJ/mol of formula units. The calculation puts the uncorrected formation energy at 0.124 eV per atom. As for the final energy: -0.1436 hartree per atom. The space-group type is P1 (1).

# 5
The following is a DFT calculation (PBE-GGA) of an optimized crystal structure of Tb2Mg2Sc.

Lattice parameters (Å, degrees): 13.9201 13.9201 5.3124 90.00 90.00 164.93
With the nearest neighbours (Å) after each atom.
Fractional positions:
Tb 0.0419 0.9581 0.7500  8 Mg 3.26-3.37, 2 Tb 3.52
Tb 0.2372 0.7628 0.7500  2 Mg 3.25, 4 Tb 3.30, 4 Sc 3.50
Tb 0.7628 0.2372 0.2500  2 Mg 3.25, 4 Tb 3.30, 4 Sc 3.50
Tb 0.9581 0.0419 0.2500  8 Mg 3.26-3.37, 2 Tb 3.52
Mg 0.3604 0.6396 0.2500  4 Sc 3.25, 4 Tb 3.25-3.26, 2 Mg 3.43
Mg 0.4392 0.5608 0.7500  2 Sc 3.17, 6 Tb 3.26-3.37, 2 Mg 3.43
Mg 0.5608 0.4392 0.2500  2 Sc 3.17, 6 Tb 3.26-3.37, 2 Mg 3.43
Mg 0.6396 0.3604 0.7500  4 Sc 3.25, 4 Tb 3.25-3.26, 2 Mg 3.43
Sc 0.1545 0.8455 0.2500  6 Mg 3.17-3.25, 4 Tb 3.50
Sc 0.8455 0.1545 0.7500  6 Mg 3.17-3.25, 4 Tb 3.50

## Properties
For the density of states at the Fermi level, the calculation gives 10.45 states/eV per cell. For the energy of formation, the calculation gives -0.0335 eV per atom. As for the final energy: -0.1393 hartree per atom. The space-group type is Cmcm (63).

# 6
The following is a DFT calculation (PBE-GGA) of an optimized crystal structure of Pm3Al8Pt3.

Lattice parameters (Å, degrees): 8.2743 8.2743 9.1317 123.06 123.06 31.31
With the nearest neighbours (Å) after each atom.
Fractional positions:
Pm 0.0000 0.0000 0.0000  8 Al 3.18-3.28, 4 Pt 3.25
Pm 0.2866 0.2866 0.2998  11 Al 3.05-3.34, 2 Pt 3.23
Pm 0.7134 0.7134 0.7002  11 Al 3.05-3.34, 2 Pt 3.23
Al 0.1321 0.1321 0.4225  1 Pt 2.57, 2 Al 2.67
Al 0.1529 0.1529 0.8674  4 Pt 2.57-2.82
Al 0.3484 0.3484 0.7161  1 Pt 2.55, 3 Al 2.67-2.75
Al 0.4934 0.4934 0.3250  3 Pt 2.53-2.71, 1 Al 2.75
Al 0.5066 0.5066 0.6750  3 Pt 2.53-2.71, 1 Al 2.75
Al 0.6516 0.6516 0.2839  1 Pt 2.55, 3 Al 2.67-2.75
Al 0.8471 0.8471 0.1326  4 Pt 2.57-2.82
Al 0.8679 0.8679 0.5775  1 Pt 2.57, 2 Al 2.67
Pt 0.0000 0.0000 0.5000  8 Al 2.57-2.82
Pt 0.3507 0.3507 0.9973  5 Al 2.53-2.67
Pt 0.6493 0.6493 0.0027  5 Al 2.53-2.67

## Properties
For the density of states at the Fermi level, the calculation gives 5.74 states/eV per cell. For the energy of formation, the calculation gives -0.8408 eV per atom. As for the final energy: -0.1945 hartree per atom. The space-group type is C2/m (12).

# 7
The following is a DFT calculation (PBE-GGA) of an optimized crystal structure of SrTi2F.

Lattice parameters (Å, degrees): 6.9668 6.9668 6.9668 90.00 90.00 90.00
With the nearest neighbours (Å) after each atom.
Fractional positions:
Sr 0.0000 0.0000 0.0000  8 Ti 3.02
Sr 0.0000 0.5000 0.5000  8 Ti 3.02
Sr 0.5000 0.0000 0.5000  8 Ti 3.02
Sr 0.5000 0.5000 0.0000  8 Ti 3.02
Ti 0.2500 0.2500 0.2500  4 F 3.02, 4 Sr 3.02
Ti 0.2500 0.2500 0.7500  4 F 3.02, 4 Sr 3.02
Ti 0.2500 0.7500 0.2500  4 F 3.02, 4 Sr 3.02
Ti 0.2500 0.7500 0.7500  4 F 3.02, 4 Sr 3.02
Ti 0.7500 0.2500 0.2500  4 F 3.02, 4 Sr 3.02
Ti 0.7500 0.2500 0.7500  4 F 3.02, 4 Sr 3.02
Ti 0.7500 0.7500 0.2500  4 F 3.02, 4 Sr 3.02
Ti 0.7500 0.7500 0.7500  4 F 3.02, 4 Sr 3.02
F 0.0000 0.0000 0.5000  8 Ti 3.02
F 0.0000 0.5000 0.0000  8 Ti 3.02
F 0.5000 0.0000 0.0000  8 Ti 3.02
F 0.5000 0.5000 0.5000  8 Ti 3.02

## Properties
For the density of states at the Fermi level, the calculation gives 38.07 states/eV per cell. The distance to the lowest polymorph of the same formula comes out at 443.8 kJ/mol of formula units. The calculation puts the uncorrected formation energy at 0.731 eV per atom. As for the final energy: -0.1508 hartree per atom. The space-group type is Fm-3m (225).

# 8
The following is a DFT calculation (PBE-GGA) of an optimized crystal structure of Be2SnCl6.

Lattice parameters (Å, degrees): 9.1588 9.1588 6.0697 104.17 104.17 87.64
With the nearest neighbours (Å) after each atom.
Fractional positions:
Be 0.1436 0.3060 0.1774  4 Cl 1.99-2.09
Be 0.3060 0.1436 0.6774  4 Cl 1.99-2.09
Be 0.6940 0.8564 0.3226  4 Cl 1.99-2.09
Be 0.8564 0.6940 0.8226  4 Cl 1.99-2.09
Sn 0.2458 0.7542 0.2500  4 Cl 2.69-2.86
Sn 0.7542 0.2458 0.7500  4 Cl 2.69-2.86
Cl 0.0641 0.6490 0.7842  1 Be 1.99
Cl 0.1252 0.2333 0.8183  2 Be 2.08-2.09
Cl 0.2333 0.1252 0.3183  2 Be 2.08-2.09
Cl 0.2920 0.4792 0.3358  1 Be 2.02
Cl 0.3510 0.9359 0.7158  1 Be 1.99
Cl 0.4792 0.2920 0.8358  1 Be 2.02
Cl 0.5208 0.7080 0.1642  1 Be 2.02
Cl 0.6490 0.0641 0.2842  1 Be 1.99
Cl 0.7080 0.5208 0.6642  1 Be 2.02
Cl 0.7667 0.8748 0.6817  2 Be 2.08-2.09
Cl 0.8748 0.7667 0.1817  2 Be 2.08-2.09
Cl 0.9359 0.3510 0.2158  1 Be 1.99

## Properties
For the density of states at the Fermi level, the calculation gives 0.00 states/eV per cell. The distance to the lowest polymorph of the same formula comes out at 0.0 kJ/mol of formula units. The calculation puts the uncorrected formation energy at -1.246 eV per atom. As for the final energy: -0.1378 hartree per atom. The space-group type is C2/c (15).

Spin magnetization values, unit μB per formula unit, following the record order: 0.5, 0.0, 4.1, 0.0, 0.0, 0.0, 0.0, 0.0.